No. 1
# NaPmMgTl

A geometry-optimized NaPmMgTl structure (PBE-GGA, Alexandria via LeMat-Bulk). Values from VASP.

Quantum ESPRESSO input file:
```
&SYSTEM
  ibrav = 0, nat = 4, ntyp = 4
/
ATOMIC_SPECIES
Na 22.99 Na.upf
Pm 145.00 Pm.upf
Mg 24.30 Mg.upf
Tl 204.38 Tl.upf
ATOMIC_POSITIONS crystal
Na 0.000 0.000 0.000
Pm 0.750 0.750 0.750
Mg 0.250 0.250 0.250
Tl 0.500 0.500 0.500
CELL_PARAMETERS angstrom
0.000 3.747 3.747
3.747 0.000 3.747
3.747 3.747 0.000
```

Computed properties:
The value obtained for the spin magnetization is 0.000 μB per atom. The calculation puts the density of states at the Fermi level at 2.732 states/eV per cell. As for the symmetry: F-43m. Its energy relative to the elements is -0.101 eV/atom.

No. 2
# KZnGaO2

A geometry-optimized KZnGaO2 structure (PBE-GGA, Alexandria via LeMat-Bulk). Values from VASP.

Quantum ESPRESSO input file:
```
&SYSTEM
  ibrav = 0, nat = 5, ntyp = 4
/
ATOMIC_SPECIES
K 39.10 K.upf
Zn 65.41 Zn.upf
Ga 69.72 Ga.upf
O 16.00 O.upf
ATOMIC_POSITIONS crystal
K 0.000 0.000 0.000
Zn 0.500 0.500 0.000
Ga 0.000 0.000 0.500
O 0.000 0.500 0.500
O 0.500 0.000 0.500
CELL_PARAMETERS angstrom
4.002 0.000 0.000
0.000 4.002 0.000
0.000 0.000 5.876
```

Computed properties:
For the energy relative to the elements, uncorrected, the calculation gives -0.208 eV per atom. The value obtained for the spin magnetization is 0.000 μB per atom. The calculation puts the density of states at the Fermi level at 1.643 states/eV per cell. As for the symmetry: P4/mmm.

No. 3
# SnTe

A geometry-optimized SnTe structure (PBE-GGA, Alexandria via LeMat-Bulk). Values from VASP.

Quantum ESPRESSO input file:
```
&SYSTEM
  ibrav = 0, nat = 12, ntyp = 2
/
ATOMIC_SPECIES
Sn 118.71 Sn.upf
Te 127.60 Te.upf
ATOMIC_POSITIONS crystal
Sn 0.000 0.250 0.500
Sn 0.000 0.750 0.500
Sn 0.250 0.500 0.000
Sn 0.500 0.000 0.250
Sn 0.500 0.000 0.750
Sn 0.750 0.500 0.000
Te 0.000 0.500 0.250
Te 0.000 0.500 0.750
Te 0.250 0.000 0.500
Te 0.500 0.250 0.000
Te 0.500 0.750 0.000
Te 0.750 0.000 0.500
CELL_PARAMETERS angstrom
8.745 0.000 0.000
0.000 8.745 0.000
0.000 0.000 8.745
```

Computed properties:
For the energy relative to the elements, uncorrected, the calculation gives -0.037 eV per atom. The value obtained for the spin magnetization is 0.000 μB per atom. As for the symmetry: Pm-3n.

No. 4
# Zn2NiTe

A geometry-optimized Zn2NiTe structure (PBE-GGA, Alexandria via LeMat-Bulk). Values from VASP.

Quantum ESPRESSO input file:
```
&SYSTEM
  ibrav = 0, nat = 4, ntyp = 3
/
ATOMIC_SPECIES
Zn 65.41 Zn.upf
Ni 58.69 Ni.upf
Te 127.60 Te.upf
ATOMIC_POSITIONS crystal
Zn 0.230 0.230 0.161
Zn 0.770 0.770 0.839
Ni 0.500 0.500 0.000
Te 0.000 0.000 0.500
CELL_PARAMETERS angstrom
4.292 -1.912 0.000
4.292 1.912 0.000
-0.579 0.000 4.421
```

Computed properties:
For the energy relative to the elements, uncorrected, the calculation gives 0.106 eV per atom. The value obtained for the spin magnetization is 0.000 μB per atom. The calculation puts the density of states at the Fermi level at 1.946 states/eV per cell. As for the symmetry: C2/m. The polymorph energy (0 for the lowest one) is 14.08 kJ per mole of atoms.

No. 5
# Zr4CoIr

A geometry-optimized Zr4CoIr structure (PBE-GGA, Alexandria via LeMat-Bulk). Values from VASP.

Quantum ESPRESSO input file:
```
&SYSTEM
  ibrav = 0, nat = 6, ntyp = 3
/
ATOMIC_SPECIES
Zr 91.22 Zr.upf
Co 58.93 Co.upf
Ir 192.22 Ir.upf
ATOMIC_POSITIONS crystal
Zr 0.080 0.580 0.160
Zr 0.420 0.920 0.840
Zr 0.580 0.420 0.500
Zr 0.920 0.080 0.500
Co 0.500 0.500 0.000
Ir 0.000 0.000 0.000
CELL_PARAMETERS angstrom
-3.234 3.234 2.804
3.234 -3.234 2.804
3.234 3.234 -2.804
```

Computed properties:
The value obtained for the spin magnetization is 0.000 μB per atom. The calculation puts the density of states at the Fermi level at 8.216 states/eV per cell. As for the symmetry: I422. Its energy relative to the elements is -0.453 eV/atom. The polymorph energy (0 for the lowest one) is 0.00 kJ per mole of atoms.

No. 6
# SmScPb2

A geometry-optimized SmScPb2 structure (PBE-GGA, Alexandria via LeMat-Bulk). Values from VASP.

Quantum ESPRESSO input file:
```
&SYSTEM
  ibrav = 0, nat = 4, ntyp = 3
/
ATOMIC_SPECIES
Sm 150.36 Sm.upf
Sc 44.96 Sc.upf
Pb 207.20 Pb.upf
ATOMIC_POSITIONS crystal
Sm 0.000 0.000 0.000
Sc 0.500 0.500 0.000
Pb 0.000 0.500 0.500
Pb 0.500 0.000 0.500
CELL_PARAMETERS angstrom
4.920 0.000 0.000
0.000 4.920 0.000
0.000 0.000 4.471
```

Computed properties:
The value obtained for the spin magnetization is 0.121 μB per atom. The calculation puts the density of states at the Fermi level at 4.488 states/eV per cell. As for the symmetry: P4/mmm. Its energy relative to the elements is -0.388 eV/atom.

No. 7
# AcPm2Au

A geometry-optimized AcPm2Au structure (PBE-GGA, Alexandria via LeMat-Bulk). Values from VASP.

Quantum ESPRESSO input file:
```
&SYSTEM
  ibrav = 0, nat = 4, ntyp = 3
/
ATOMIC_SPECIES
Ac 227.00 Ac.upf
Pm 145.00 Pm.upf
Au 196.97 Au.upf
ATOMIC_POSITIONS crystal
Ac 0.000 0.000 0.000
Pm 0.500 0.500 0.304
Pm 0.500 0.500 0.696
Au 0.000 0.000 0.500
CELL_PARAMETERS angstrom
3.769 0.000 0.000
0.000 3.769 0.000
0.000 0.000 8.965
```

Computed properties:
The value obtained for the spin magnetization is 0.000 μB per atom. The calculation puts the density of states at the Fermi level at 5.473 states/eV per cell. As for the symmetry: P4/mmm. Its energy relative to the elements is -0.360 eV/atom. The polymorph energy (0 for the lowest one) is 2.76 kJ per mole of atoms.

No. 8
# HoErHg3

A geometry-optimized HoErHg3 structure (PBE-GGA, Alexandria via LeMat-Bulk). Values from VASP.

Quantum ESPRESSO input file:
```
&SYSTEM
  ibrav = 0, nat = 10, ntyp = 3
/
ATOMIC_SPECIES
Ho 164.93 Ho.upf
Er 167.26 Er.upf
Hg 200.59 Hg.upf
ATOMIC_POSITIONS crystal
Ho 0.000 0.000 0.000
Ho 0.750 0.250 0.500
Er 0.415 0.415 0.000
Er 0.585 0.585 0.000
Hg 0.036 0.536 0.500
Hg 0.374 0.128 0.246
Hg 0.464 0.964 0.500
Hg 0.872 0.117 0.246
Hg 0.872 0.626 0.754
Hg 0.883 0.128 0.754
CELL_PARAMETERS angstrom
-2.842 2.842 10.699
2.842 -2.842 10.699
2.842 2.842 -10.699
```

Computed properties:
The value obtained for the spin magnetization is 0.000 μB per atom. The calculation puts the density of states at the Fermi level at 9.791 states/eV per cell. As for the symmetry: I-4m2. Its energy relative to the elements is 0.068 eV/atom.

No. 9
# BaCd2W

A geometry-optimized BaCd2W structure (PBE-GGA, Alexandria via LeMat-Bulk). Values from VASP.

Quantum ESPRESSO input file:
```
&SYSTEM
  ibrav = 0, nat = 4, ntyp = 3
/
ATOMIC_SPECIES
Ba 137.33 Ba.upf
Cd 112.41 Cd.upf
W 183.84 W.upf
ATOMIC_POSITIONS crystal
Ba 0.000 0.000 0.000
Cd 0.250 0.250 0.250
Cd 0.750 0.750 0.750
W 0.500 0.500 0.500
CELL_PARAMETERS angstrom
0.000 3.774 3.774
3.774 0.000 3.774
3.774 3.774 0.000
```

Computed properties:
The value obtained for the spin magnetization is 0.706 μB per atom. The calculation puts the density of states at the Fermi level at 4.699 states/eV per cell. As for the symmetry: Fm-3m. Its energy relative to the elements is 0.898 eV/atom. The polymorph energy (0 for the lowest one) is 27.00 kJ per mole of atoms.

No. 10
# LaRe2Mo

A geometry-optimized LaRe2Mo structure (PBE-GGA, Alexandria via LeMat-Bulk). Values from VASP.

Quantum ESPRESSO input file:
```
&SYSTEM
  ibrav = 0, nat = 4, ntyp = 3
/
ATOMIC_SPECIES
La 138.91 La.upf
Re 186.21 Re.upf
Mo 95.94 Mo.upf
ATOMIC_POSITIONS crystal
La 0.000 0.000 0.000
Re 0.250 0.250 0.250
Re 0.750 0.750 0.750
Mo 0.500 0.500 0.500
CELL_PARAMETERS angstrom
0.000 3.310 3.310
3.310 0.000 3.310
3.310 3.310 0.000
```

Computed properties:
The value obtained for the spin magnetization is 0.000 μB per atom. The calculation puts the density of states at the Fermi level at 2.499 states/eV per cell. As for the symmetry: Fm-3m. Its energy relative to the elements is 0.575 eV/atom. The polymorph energy (0 for the lowest one) is 20.31 kJ per mole of atoms.

No. 11
# V4ReW2

A geometry-optimized V4ReW2 structure (PBE-GGA, Alexandria via LeMat-Bulk). Values from VASP.

Quantum ESPRESSO input file:
```
&SYSTEM
  ibrav = 0, nat = 7, ntyp = 3
/
ATOMIC_SPECIES
V 50.94 V.upf
Re 186.21 Re.upf
W 183.84 W.upf
ATOMIC_POSITIONS crystal
V 0.000 0.000 0.500
V 0.000 0.500 0.000
V 0.500 0.000 0.000
V 0.500 0.500 0.500
Re 0.000 0.000 0.000
W 0.000 0.500 0.500
W 0.500 0.000 0.500
CELL_PARAMETERS angstrom
-3.018 3.018 3.043
3.018 -3.018 3.043
3.018 3.018 -3.043
```

Computed properties:
The value obtained for the spin magnetization is 0.000 μB per atom. The calculation puts the density of states at the Fermi level at 8.769 states/eV per cell. As for the symmetry: I4/mmm. Its energy relative to the elements is 0.251 eV/atom.

No. 12
# SrAcAg

A geometry-optimized SrAcAg structure (PBE-GGA, Alexandria via LeMat-Bulk). Values from VASP.

Quantum ESPRESSO input file:
```
&SYSTEM
  ibrav = 0, nat = 6, ntyp = 3
/
ATOMIC_SPECIES
Sr 87.62 Sr.upf
Ac 227.00 Ac.upf
Ag 107.87 Ag.upf
ATOMIC_POSITIONS crystal
Sr 0.161 0.161 0.069
Sr 0.839 0.839 0.931
Ac 0.399 0.399 0.599
Ac 0.601 0.601 0.401
Ag 0.116 0.116 0.681
Ag 0.884 0.884 0.319
CELL_PARAMETERS angstrom
7.243 -2.060 0.000
7.243 2.060 0.000
-5.617 0.000 7.624
```

Computed properties:
The value obtained for the spin magnetization is 0.000 μB per atom. The calculation puts the density of states at the Fermi level at 5.976 states/eV per cell. As for the symmetry: C2/m. Its energy relative to the elements is -0.156 eV/atom. The polymorph energy (0 for the lowest one) is 0.00 kJ per mole of atoms.

spin magnetization of number 7 (AcPm2Au)?
0.000 μB per atom

spin magnetization of number 7 (AcPm2Au)?
0.000 μB per atom